a.
Here is Fe2HIr after structural relaxation from the Alexandria database. Energies are from PBE.

- space-group type = I-42d
- crystal system = tetragonal
- ρ (Mg/m³) = 12.9

Cell lengths 5.5831, 5.5831, 4.6797 Å; angles 53.38, 53.38, 90.00 degrees
Fractional coordinates of all 8 atoms:
Ir (0.0000, 0.0000, 0.0000)
Ir (0.7500, 0.2500, 0.5000)
Fe (0.3750, 0.4862, 0.7500)
Fe (0.2362, 0.6250, 0.2500)
Fe (0.5138, 0.1250, 0.2500)
Fe (0.8750, 0.7638, 0.7500)
H (0.2500, 0.7500, 0.5000)
H (0.5000, 0.5000, 0.0000)



b.
Here is Fe2HIr after structural relaxation from the Alexandria database. Energies are from PBE.

- space-group type = Cm
- crystal system = monoclinic
- ρ (Mg/m³) = 12.7

Cell lengths 2.6810, 2.6810, 6.5875 Å; angles 78.40, 78.40, 59.92 degrees
Fractional coordinates of all 4 atoms:
Ir (0.4991, 0.4991, 0.5020)
Fe (0.0563, 0.0563, 0.8330)
Fe (0.2752, 0.2752, 0.1726)
H (0.6695, 0.6695, 0.9924)



Which of them is the least stable? Correct choice: a.